# 1
The following is a DFT calculation (SCAN) of CuRe2Hg at its PBEsol-relaxed geometry.

## Properties
Crystal system   orthorhombic
Calculated formation energy   856 meV/atom
SG   Cmmm
Calculated density   17.39 g cm⁻³
Calculated total energy   -222.1 eV per cell
Spin magnetization   0.0 Bohr magnetons per cell

a b c (Å): 5.033 5.033 2.717
angles (deg): 90.00 90.00 117.98
Positions (direct):
Cu1 0.000 0.000 0.000
Re1 0.000 0.500 0.500
Re2 0.500 0.000 0.500
Hg1 0.500 0.500 0.000

---

# 2
The following is a DFT calculation (SCAN) of CsNiB2Cl at its PBEsol-relaxed geometry.

## Properties
Crystal system   tetragonal
SG   P4/mmm
Calculated density   3.13 g cm⁻³
Calculated total energy   -62.4 eV per cell
Spin magnetization   0.0 Bohr magnetons per cell
Formation energy (no corrections)   2880 meV per atom

a b c (Å): 5.253 5.253 4.779
angles (deg): 90.00 90.00 90.00
Positions (direct):
Cs1 0.000 0.000 0.000
Ni1 0.000 0.000 0.500
B1 0.000 0.500 0.000
B2 0.500 0.000 0.000
Cl1 0.500 0.500 0.500

---

# 3
The following is a DFT calculation (SCAN) of YPtAu2 at its PBEsol-relaxed geometry.

## Properties
Crystal system   tetragonal
Calculated formation energy   -867 meV/atom
SG   P4mm
Calculated density   15.05 g cm⁻³
Calculated total energy   -239.8 eV per cell
Spin magnetization   0.0 Bohr magnetons per cell
Polymorph energy (0 for the lowest one)   0.644 kcal/mol of atoms

a b c (Å): 3.620 3.620 5.708
angles (deg): 90.00 90.00 90.00
Positions (direct):
Y1 0.000 0.000 0.000
Pt1 0.500 0.500 0.758
Au1 0.000 0.000 0.507
Au2 0.500 0.500 0.277

---

# 4
The following is a DFT calculation (SCAN) of MgIn3 at its PBEsol-relaxed geometry.

## Properties
Crystal system   hexagonal
Calculated formation energy   -38 meV/atom
SG   P6_3/mmc
Calculated density   6.35 g cm⁻³
Calculated total energy   -210.6 eV per cell
Spin magnetization   0.0 Bohr magnetons per cell

a b c (Å): 6.430 6.430 5.388
angles (deg): 90.00 90.00 120.00
Positions (direct):
Mg1 0.333 0.667 0.250
Mg2 0.667 0.333 0.750
In1 0.168 0.335 0.750
In2 0.168 0.832 0.750
In3 0.335 0.168 0.250
In4 0.665 0.832 0.750
In5 0.832 0.168 0.250
In6 0.832 0.665 0.250